Record 1
Density functional theory data (PBE) for a geometry-optimized SrBe2Re structure.

The relative energy among the computed polymorphs is 1029 meV per atom. The calculation puts the energy of formation from the pure elements at 1350 meV per atom.

abc: 6.4456 6.4456 6.4456
angles: 90.00 90.00 90.00
Space group F-43m (No. 216)
Asymmetric unit:
Sr (0.0000, 0.0000, 0.0000) (multiplicity 4)
Be (0.0000, 0.0000, 0.5000) (multiplicity 4)
Be (0.2500, 0.2500, 0.2500) (multiplicity 4)
Re (0.2500, 0.2500, 0.7500) (multiplicity 4)



Record 2
Density functional theory data (PBE) for a geometry-optimized FeMoOs4 structure.

The calculation puts the energy of formation from the pure elements at 549 meV per atom.

abc: 7.2032 7.2032 7.2032
angles: 90.00 90.00 90.00
Space group F-43m (No. 216)
Asymmetric unit:
Fe (0.0000, 0.0000, 0.0000) (multiplicity 4)
Mo (0.2500, 0.2500, 0.2500) (multiplicity 4)
Os (0.1252, 0.1252, 0.6252) (multiplicity 16)



Record 3
Density functional theory data (PBE) for a geometry-optimized KAlTc2 structure.

The calculation puts the energy of formation from the pure elements at 598 meV per atom.

abc: 2.8176 2.8176 30.7237
angles: 90.00 90.00 120.00
Space group R-3m (No. 166, hexagonal axes)
Asymmetric unit:
K (0.0000, 0.0000, 0.0000) (multiplicity 3)
Al (0.0000, 0.0000, 0.5000) (multiplicity 3)
Tc (0.0000, 0.0000, 0.2358) (multiplicity 6)



Record 4
Density functional theory data (PBE) for a geometry-optimized AcCuAu2 structure.

The calculation puts the energy of formation from the pure elements at -358 meV per atom.

abc: 3.6438 3.6438 6.7718
angles: 90.00 90.00 90.00
Space group P4/mmm (No. 123)
Asymmetric unit:
Ac (0.0000, 0.0000, 0.0000) (multiplicity 1)
Cu (0.0000, 0.0000, 0.5000) (multiplicity 1)
Au (0.5000, 0.5000, 0.2969) (multiplicity 2)